This record from Alexandria via LeMat-Bulk describes a geometry-optimized PuSnRuAu structure. The functional is GGA-PBE.

Density of states at the Fermi level   8.761 states/eV/f.u.
DFT formation energy   -0.11 eV per atom
Space-group type   F-43m

Geometry as POSCAR:
```
PuSnRuAu
1.0
-0.1331 -2.2469 4.3009
-3.2685 -3.4960 0.8119
1.4321 -4.6236 0.3683
Au Sn Ru Pu
1 1 1 1
Direct
0.5000 0.5000 0.5000 Au
0.7500 0.7500 0.7500 Sn
0.0000 0.0000 0.0000 Ru
0.2500 0.2500 0.2500 Pu
```

This record from Alexandria via LeMat-Bulk describes a geometry-optimized NdHoV4 structure. The functional is GGA-PBE.

Density of states at the Fermi level   12.151 states/eV/f.u.
DFT formation energy   0.39 eV per atom
Space-group type   F-43m

Geometry as POSCAR:
```
NdHoV4
1.0
5.4033 0.0000 0.0000
2.7016 4.6794 0.0000
2.7016 1.5598 4.4118
Ho V Nd
1 4 1
Direct
0.0000 0.0000 0.0000 Ho
0.6298 0.1105 0.6298 V
0.6298 0.6298 0.1105 V
0.1105 0.6298 0.6298 V
0.6298 0.6298 0.6298 V
0.2500 0.2500 0.2500 Nd
```

This record from Alexandria via LeMat-Bulk describes a geometry-optimized AcMg4Zn4 structure. The functional is GGA-PBE.

Density of states at the Fermi level   5.197 states/eV/f.u.
DFT formation energy   -0.13 eV per atom
Space-group type   P4_2/nmc

Geometry as POSCAR:
```
AcMg4Zn4
1.0
-3.2120 -5.1022 -2.5977
0.5141 -3.2236 5.6957
-8.0447 3.6445 2.7888
Zn Ac Mg
8 2 8
Direct
0.6910 0.0000 0.3177 Zn
0.0000 0.6910 0.6823 Zn
0.5000 0.1910 0.8177 Zn
0.1910 0.5000 0.1823 Zn
0.8090 0.5000 0.1823 Zn
0.0000 0.3090 0.6823 Zn
0.3090 0.0000 0.3177 Zn
0.5000 0.8090 0.8177 Zn
0.5000 0.5000 0.5000 Ac
0.0000 0.0000 0.0000 Ac
0.7577 0.5000 0.8877 Mg
0.7423 0.0000 0.6123 Mg
0.0000 0.2577 0.3877 Mg
0.5000 0.2423 0.1123 Mg
0.2577 0.0000 0.6123 Mg
0.2423 0.5000 0.8877 Mg
0.0000 0.7423 0.3877 Mg
0.5000 0.7577 0.1123 Mg
```

This record from Alexandria via LeMat-Bulk describes a geometry-optimized Pm2PrNdTm2 structure. The functional is GGA-PBE.

Density of states at the Fermi level   9.374 states/eV/f.u.
DFT formation energy   0.07 eV per atom
Space-group type   Pnnm

Geometry as POSCAR:
```
Pm2PrNdTm2
1.0
-4.4268 2.9569 2.1025
1.6564 -3.8932 8.9627
4.3066 5.3584 1.5317
Pr Tm Pm Nd
2 4 4 2
Direct
0.0000 0.0000 0.0000 Pr
0.5000 0.5000 0.5000 Pr
0.5000 0.1665 0.2499 Tm
0.5000 0.8335 0.7501 Tm
0.0000 0.6665 0.2501 Tm
0.0000 0.3335 0.7499 Tm
0.0000 0.6668 0.7504 Pm
0.5000 0.8332 0.2504 Pm
0.5000 0.1668 0.7496 Pm
0.0000 0.3332 0.2496 Pm
0.0000 0.0000 0.5000 Nd
0.5000 0.5000 0.0000 Nd
```

This record from Alexandria via LeMat-Bulk describes a geometry-optimized CaFeCl structure. The functional is GGA-PBE.

Density of states at the Fermi level   1.413 states/eV/f.u.
Space-group type   F-43m
Energy relative to the elements, uncorrected   0.0919 eV per atom

Geometry as POSCAR:
```
CaFeCl
1.0
4.6620 0.0000 0.0000
2.3310 4.0375 0.0000
2.3310 1.3458 3.8065
Ca Cl Fe
1 1 1
Direct
0.5000 0.5000 0.5000 Ca
0.7500 0.7500 0.7500 Cl
0.0000 0.0000 0.0000 Fe
```

This record from Alexandria via LeMat-Bulk describes a geometry-optimized Nd2ScSb3 structure. The functional is GGA-PBE.

Density of states at the Fermi level   1.321 states/eV/f.u.
Distance to the lowest polymorph of the same formula   0.010 eV per atom
Space-group type   Immm
Energy relative to the elements, uncorrected   -1.0673 eV per atom

Geometry as POSCAR:
```
Nd2ScSb3
1.0
4.4100 0.0000 0.0000
0.0000 6.2824 0.0000
-2.2050 -3.1412 6.5898
Nd Sc Sb
2 1 3
Direct
0.6704 0.1704 0.3409 Nd
0.3296 0.8296 0.6591 Nd
0.0000 0.5000 0.0000 Sc
0.0000 0.0000 0.0000 Sb
0.3464 0.3464 0.6928 Sb
0.6536 0.6536 0.3072 Sb
```

This record from Alexandria via LeMat-Bulk describes a geometry-optimized La2BrF structure. The functional is GGA-PBE.

Density of states at the Fermi level   5.677 states/eV/f.u.
Distance to the lowest polymorph of the same formula   0.198 eV per atom
Space-group type   I-42d
Energy relative to the elements, uncorrected   -1.6033 eV per atom

Geometry as POSCAR:
```
La2BrF
1.0
-4.8881 1.3371 -4.1789
2.7917 -3.8785 -4.5064
-4.0967 -5.8907 -2.2550
F Br La
2 2 4
Direct
0.2500 0.7500 0.5000 F
0.5000 0.5000 0.0000 F
0.7500 0.2500 0.5000 Br
0.0000 0.0000 0.0000 Br
0.5656 0.1250 0.2500 La
0.8750 0.8156 0.7500 La
0.1844 0.6250 0.2500 La
0.3750 0.4344 0.7500 La
```

This record from Alexandria via LeMat-Bulk describes a geometry-optimized HfCrFe2 structure. The functional is GGA-PBE.

Density of states at the Fermi level   6.533 states/eV/f.u.
DFT formation energy   0.07 eV per atom
Distance to the lowest polymorph of the same formula   0.000 eV per atom
Space-group type   Fm-3m

Geometry as POSCAR:
```
HfCrFe2
1.0
0.0000 2.9857 2.9857
2.9857 0.0000 2.9857
2.9857 2.9857 0.0000
Cr Fe Hf
1 2 1
Direct
0.0000 0.0000 0.0000 Cr
0.2500 0.2500 0.2500 Fe
0.7500 0.7500 0.7500 Fe
0.5000 0.5000 0.5000 Hf
```

This record from Alexandria via LeMat-Bulk describes a geometry-optimized BeNb2Cu structure. The functional is GGA-PBE.

Density of states at the Fermi level   3.268 states/eV/f.u.
DFT formation energy   0.41 eV per atom
Space-group type   R-3m

Geometry as POSCAR:
```
BeNb2Cu
1.0
-1.7986 -2.6086 -0.4093
1.0842 -2.8525 0.9460
-3.1011 -0.8300 6.4467
Nb Be Cu
2 1 1
Direct
0.7614 0.7614 0.7158 Nb
0.2386 0.2386 0.2842 Nb
0.5000 0.5000 0.5000 Be
0.0000 0.0000 0.0000 Cu
```

This record from Alexandria via LeMat-Bulk describes a geometry-optimized Ge2MoOs structure. The functional is GGA-PBE.

Density of states at the Fermi level   4.661 states/eV/f.u.
DFT formation energy   0.69 eV per atom
Distance to the lowest polymorph of the same formula   0.531 eV per atom
Space-group type   I-42d

Geometry as POSCAR:
```
Ge2MoOs
1.0
7.0754 0.0000 0.0000
0.0000 7.0754 0.0000
3.5377 3.5377 2.6772
Ge Os Mo
4 2 2
Direct
0.8750 0.8955 0.7500 Ge
0.1045 0.6250 0.2500 Ge
0.3750 0.3545 0.7500 Ge
0.6455 0.1250 0.2500 Ge
0.7500 0.2500 0.5000 Os
0.0000 0.0000 0.0000 Os
0.5000 0.5000 0.0000 Mo
0.2500 0.7500 0.5000 Mo
```

This record from Alexandria via LeMat-Bulk describes a geometry-optimized Be2NiBr structure. The functional is GGA-PBE.

Density of states at the Fermi level   1.872 states/eV/f.u.
Distance to the lowest polymorph of the same formula   0.626 eV per atom
Space-group type   Immm
Energy relative to the elements, uncorrected   0.6898 eV per atom

Geometry as POSCAR:
```
Be2NiBr
1.0
4.6960 -0.0144 0.0119
1.8494 4.3165 -0.0119
-2.8984 -2.7204 2.5001
Ni Be Br
1 2 1
Direct
0.7500 0.2500 0.5000 Ni
0.5123 0.5123 0.0000 Be
0.9877 0.9877 0.0000 Be
0.2500 0.7500 0.5000 Br
```

This record from Alexandria via LeMat-Bulk describes a geometry-optimized Rb2MnZn2 structure. The functional is GGA-PBE.

Density of states at the Fermi level   5.202 states/eV/f.u.
DFT formation energy   0.61 eV per atom
Distance to the lowest polymorph of the same formula   0.000 eV per atom
Space-group type   I4/mmm

Geometry as POSCAR:
```
Rb2MnZn2
1.0
3.7838 0.0000 0.0000
0.0000 3.7838 0.0000
1.8919 1.8919 12.0138
Rb Zn Mn
2 2 1
Direct
0.6162 0.6162 0.7676 Rb
0.3838 0.3838 0.2324 Rb
0.7500 0.2500 0.5000 Zn
0.2500 0.7500 0.5000 Zn
0.0000 0.0000 0.0000 Mn
```